# 1
## Zr3Tc2 (PBE)

Data for a geometry-optimized Zr3Tc2 structure.

## Properties
**Energy above the lowest structure with this stoichiometry**: 206 meV per atom
**Fermi-level density of states**: 9.15 states/eV per cell
**Magnetization**: 0.000 μB per cell
**DFT formation energy**: -1.99 kcal/mol of atoms

Unit cell a=8.435 b=7.447 c=5.642 alpha=78.92 beta=60.05 gamma=41.03
Fractional positions:
1 Zr 0.016 0.016 0.234
2 Zr 0.234 0.234 0.016
3 Zr 0.375 0.375 0.375
4 Zr 0.625 0.625 0.625
5 Zr 0.766 0.766 0.984
6 Zr 0.984 0.984 0.766
7 Tc 0.176 0.176 0.574
8 Tc 0.426 0.426 0.824
9 Tc 0.574 0.574 0.176
10 Tc 0.824 0.824 0.426

# 2
## ScAgPt2 (PBE)

Data for a geometry-optimized ScAgPt2 structure.

## Properties
**Fermi-level density of states**: 2.60 states/eV per cell
**Magnetization**: 0.000 μB per cell
**DFT formation energy**: -15.20 kcal/mol of atoms

Unit cell a=3.136 b=3.136 c=7.049 alpha=90.00 beta=90.00 gamma=90.00
Fractional positions:
1 Sc 0.000 0.000 0.000
2 Ag 0.000 0.000 0.500
3 Pt 0.500 0.500 0.236
4 Pt 0.500 0.500 0.764